1.
First-principles (PBE) data for a relaxed structure of RbGaPt, as listed in Alexandria via LeMat-Bulk.

Unit cell a=4.913 b=4.913 c=10.329 alpha=90.00 beta=90.00 gamma=109.84
Atoms (fractional coordinates):
Rb  0.250  0.750  0.783
Rb  0.750  0.250  0.217
Ga  0.250  0.750  0.450
Ga  0.750  0.250  0.550
Pt  0.250  0.250  0.500
Pt  0.750  0.750  0.500

Calculated values
* energy above the most stable polymorph in this dataset: 0 meV per atom
* V: 39.09 A^3/atom
* ΔE_f: -0.4324 eV per atom
* E_tot: -3.777 eV per atom
* SG: No. 67

=====

2.
First-principles (PBE) data for a relaxed structure of RbGa6Pt, as listed in Alexandria via LeMat-Bulk.

Unit cell a=4.487 b=4.487 c=8.405 alpha=90.00 beta=90.00 gamma=90.00
Atoms (fractional coordinates):
Rb  0.000  0.000  0.000
Ga  0.000  0.500  0.334
Ga  0.000  0.500  0.666
Ga  0.500  0.000  0.334
Ga  0.500  0.000  0.666
Ga  0.500  0.500  0.157
Ga  0.500  0.500  0.843
Pt  0.000  0.000  0.500

Calculated values
* V: 21.15 A^3/atom
* ΔE_f: -0.2928 eV per atom
* E_tot: -3.439 eV per atom
* SG: No. 123

=====

3.
First-principles (PBE) data for a relaxed structure of RbGa3Pt3, as listed in Alexandria via LeMat-Bulk.

Unit cell a=6.999 b=6.999 c=6.999 alpha=90.00 beta=90.00 gamma=90.00
Atoms (fractional coordinates):
Rb  0.000  0.000  0.000
Rb  0.500  0.500  0.500
Ga  0.000  0.250  0.500
Ga  0.000  0.750  0.500
Ga  0.250  0.500  0.000
Ga  0.500  0.000  0.250
Ga  0.500  0.000  0.750
Ga  0.750  0.500  0.000
Pt  0.000  0.500  0.250
Pt  0.000  0.500  0.750
Pt  0.250  0.000  0.500
Pt  0.500  0.250  0.000
Pt  0.500  0.750  0.000
Pt  0.750  0.000  0.500

Calculated values
* V: 24.49 A^3/atom
* ΔE_f: -0.4007 eV per atom
* E_tot: -4.425 eV per atom
* SG: No. 223

=====

4.
First-principles (PBE) data for a relaxed structure of RbGaPt2, as listed in Alexandria via LeMat-Bulk.

Unit cell a=6.725 b=6.725 c=6.725 alpha=39.14 beta=39.14 gamma=39.14
Atoms (fractional coordinates):
Rb  0.000  0.000  0.000
Ga  0.500  0.500  0.500
Pt  0.180  0.180  0.180
Pt  0.820  0.820  0.820

Calculated values
* V: 27.26 A^3/atom
* ΔE_f: -0.3828 eV per atom
* E_tot: -4.402 eV per atom
* SG: No. 166

=====

5.
First-principles (PBE) data for a relaxed structure of RbGa2Pt2, as listed in Alexandria via LeMat-Bulk.

Unit cell a=6.681 b=6.742 c=6.951 alpha=61.28 beta=79.21 gamma=61.34
Atoms (fractional coordinates):
Rb  0.250  0.125  0.255
Rb  0.750  0.875  0.745
Ga  0.101  0.229  0.729
Ga  0.402  0.554  0.778
Ga  0.598  0.446  0.222
Ga  0.899  0.771  0.271
Pt  0.221  0.779  0.006
Pt  0.278  0.508  0.490
Pt  0.722  0.492  0.510
Pt  0.779  0.221  0.994

Calculated values
* energy above the most stable polymorph in this dataset: 0 meV per atom
* V: 24.06 A^3/atom
* ΔE_f: -0.5129 eV per atom
* E_tot: -4.333 eV per atom
* SG: No. 2

=====

6.
First-principles (PBE) data for a relaxed structure of RbGaPt3, as listed in Alexandria via LeMat-Bulk.

Unit cell a=5.158 b=5.158 c=5.158 alpha=90.00 beta=90.00 gamma=90.00
Atoms (fractional coordinates):
Rb  0.000  0.000  0.000
Ga  0.500  0.500  0.500
Pt  0.000  0.000  0.500
Pt  0.000  0.500  0.000
Pt  0.500  0.000  0.000

Calculated values
* energy above the most stable polymorph in this dataset: 1718 meV per atom
* V: 27.44 A^3/atom
* ΔE_f: 1.9751 eV per atom
* E_tot: -2.448 eV per atom
* SG: No. 221